Here is a relaxed structure of LiEuScZn from Alexandria. Energies are from PBE.

a b c (Å): 7.212 7.212 7.212
angles (deg): 90.00 90.00 90.00
Space group F-43m (No. 216)
Inequivalent atoms, fractional coordinates:
Li  0.000  0.000  0.000 [4 per cell]
Eu  0.250  0.250  0.250 [4 per cell]
Sc  0.250  0.250  0.750 [4 per cell]
Zn  0.000  0.000  0.500 [4 per cell]

Here is a relaxed structure of InFe2Se from Alexandria. Energies are from PBE.

a b c (Å): 3.0875 3.0875 23.5637
angles (deg): 90.00 90.00 120.00
Space group R-3m (No. 166, hexagonal axes)
Inequivalent atoms, fractional coordinates:
In  0.0000  0.0000  0.0000 [3 per cell]
Fe  0.0000  0.0000  0.2413 [6 per cell]
Se  0.0000  0.0000  0.5000 [3 per cell]

For the formation energy from raw total energies, the calculation gives 0.298 eV per atom. The calculation puts the energy relative to the lowest polymorph listed for this composition at 226 meV per atom.

no.,calculated density (g/cm³),DFT total energy (eV/atom)
1,4.77,-4.970
2,7.82,-5.490